A plane-wave DFT calculation with PBE-GGA was carried out for RbCaAu2 after structural relaxation.

Cell: 5.6043 5.6043 3.6520 Å, 90.00 90.00 90.00°
Closest atoms and distances in Å follow each position.
Positions (direct):
Rb1 0.0000 0.0000 0.0000  8 Au 3.34, 2 Rb 3.65
Ca1 0.5000 0.5000 0.0000  8 Au 3.34, 2 Ca 3.65
Au1 0.0000 0.5000 0.5000  4 Ca 3.34, 4 Rb 3.34, 2 Au 3.65
Au2 0.5000 0.0000 0.5000  4 Ca 3.34, 4 Rb 3.34, 2 Au 3.65

Properties
Formation energy from the elements = -0.39 eV per atom
Space-group type = P4/mmm
Calculated density = 7.52 g/cm³
Final energy = -11.08 eV for the cell shown


A plane-wave DFT calculation with PBE-GGA was carried out for RbCa4Au5 after structural relaxation.

Cell: 3.7362 3.7362 18.7964 Å, 90.00 90.00 90.00°
Closest atoms and distances in Å follow each position.
Positions (direct):
Rb1 0.0000 0.0000 0.0000  8 Au 3.68, 4 Rb 3.74, 2 Ca 4.10
Ca1 0.0000 0.0000 0.2183  8 Au 3.06-3.17
Ca2 0.0000 0.0000 0.4057  8 Au 3.18, 2 Ca 3.52-3.54
Ca3 0.0000 0.0000 0.5943  8 Au 3.18, 2 Ca 3.52-3.54
Ca4 0.0000 0.0000 0.7817  8 Au 3.06-3.17
Au1 0.5000 0.5000 0.1364  4 Ca 3.06, 1 Au 3.29
Au2 0.5000 0.5000 0.3115  8 Ca 3.17-3.18, 2 Au 3.29-3.54
Au3 0.5000 0.5000 0.5000  8 Ca 3.18, 2 Au 3.54
Au4 0.5000 0.5000 0.6885  8 Ca 3.17-3.18, 2 Au 3.29-3.54
Au5 0.5000 0.5000 0.8636  4 Ca 3.06, 1 Au 3.29

Properties
Formation energy from the elements = -0.68 eV per atom
Space-group type = P4/mmm
Calculated density = 7.79 g/cm³
Final energy = -32.17 eV for the cell shown


A plane-wave DFT calculation with PBE-GGA was carried out for Rb3CaAu4 after structural relaxation.

Cell: 3.9584 3.9584 16.6946 Å, 90.00 90.00 90.00°
Closest atoms and distances in Å follow each position.
Positions (direct):
Rb1 0.0000 0.0000 0.0000  8 Au 3.55, 4 Rb 3.96
Rb2 0.0000 0.0000 0.2592  8 Au 3.52-3.79
Rb3 0.0000 0.0000 0.7408  8 Au 3.52-3.79
Ca1 0.0000 0.0000 0.5000  8 Au 3.16
Au1 0.5000 0.5000 0.1312  8 Rb 3.52-3.55
Au2 0.5000 0.5000 0.4121  1 Au 2.93, 4 Ca 3.16
Au3 0.5000 0.5000 0.5879  1 Au 2.93, 4 Ca 3.16
Au4 0.5000 0.5000 0.8688  8 Rb 3.52-3.55

Properties
Formation energy from the elements = -0.40 eV per atom
Space-group type = P4/mmm
Calculated density = 6.88 g/cm³
Final energy = -21.19 eV for the cell shown


A plane-wave DFT calculation with PBE-GGA was carried out for Rb3CaAu after structural relaxation.

Cell: 6.7921 6.7921 6.7921 Å, 90.00 90.00 90.00°
Closest atoms and distances in Å follow each position.
Positions (direct):
Rb1 0.0000 0.0000 0.5000  2 Au 3.40
Rb2 0.0000 0.5000 0.0000  2 Au 3.40
Rb3 0.5000 0.0000 0.0000  2 Au 3.40
Ca1 0.5000 0.5000 0.5000  12 Rb 4.80
Au1 0.0000 0.0000 0.0000  6 Rb 3.40

Properties
Formation energy from the elements = 0.06 eV per atom
Space-group type = Pm-3m
Calculated density = 2.62 g/cm³
Final energy = -7.87 eV for the cell shown


A plane-wave DFT calculation with PBE-GGA was carried out for Rb2CaAu2 after structural relaxation.

Cell: 8.0702 8.0702 5.5058 Å, 90.00 90.00 90.00°
Closest atoms and distances in Å follow each position.
Positions (direct):
Rb1 0.1648 0.3352 0.0000  6 Au 3.62-3.65, 1 Rb 3.76
Rb2 0.3352 0.8352 0.0000  6 Au 3.62-3.65, 1 Rb 3.76
Rb3 0.6648 0.1648 0.0000  6 Au 3.62-3.65, 1 Rb 3.76
Rb4 0.8352 0.6648 0.0000  6 Au 3.62-3.65, 1 Rb 3.76
Ca1 0.0000 0.0000 0.5000  4 Au 3.17
Ca2 0.5000 0.5000 0.5000  4 Au 3.17
Au1 0.1294 0.6294 0.5000  1 Au 2.95, 2 Ca 3.17
Au2 0.3706 0.1294 0.5000  1 Au 2.95, 2 Ca 3.17
Au3 0.6294 0.8706 0.5000  1 Au 2.95, 2 Ca 3.17
Au4 0.8706 0.3706 0.5000  1 Au 2.95, 2 Ca 3.17

Properties
Formation energy from the elements = -0.27 eV per atom
Space-group type = P4/mbm
Calculated density = 5.60 g/cm³
Final energy = -23.68 eV for the cell shown


A plane-wave DFT calculation with PBE-GGA was carried out for RbCaAu2 after structural relaxation.

Cell: 5.4613 5.4613 5.4613 Å, 60.00 60.00 60.00°
Closest atoms and distances in Å follow each position.
Positions (direct):
Rb1 0.0000 0.0000 0.0000  8 Au 3.34
Ca1 0.5000 0.5000 0.5000  8 Au 3.34
Au1 0.2500 0.2500 0.2500  4 Ca 3.34, 4 Rb 3.34
Au2 0.7500 0.7500 0.7500  4 Rb 3.34, 4 Ca 3.34

Properties
Formation energy from the elements = -0.35 eV per atom
Space-group type = Fm-3m
Calculated density = 7.49 g/cm³
Final energy = -10.92 eV for the cell shown


> calculated density of number 1 (RbCaAu2)?

7.52 g/cm³


> Which formula does entry 2 have?

RbCa4Au5


> Among the records above, which one has the lowest formation energy from the elements?

RbCa4Au5


> Which value of formation energy from the elements does entry 5 give?

-0.27 eV per atom